Sm2Fe17B3: optimized geometry, PBE-GGA.

Cell lengths 6.554, 6.554, 6.554 Å; angles 83.98, 83.98, 83.98 degrees
Fractional positions:
Sm  0.155  0.155  0.155
Sm  0.845  0.845  0.845
Fe  0.000  0.500  0.500
Fe  0.162  0.162  0.648
Fe  0.162  0.648  0.162
Fe  0.221  0.500  0.779
Fe  0.221  0.779  0.500
Fe  0.352  0.838  0.838
Fe  0.404  0.404  0.404
Fe  0.500  0.000  0.500
Fe  0.500  0.221  0.779
Fe  0.500  0.500  0.000
Fe  0.500  0.779  0.221
Fe  0.596  0.596  0.596
Fe  0.648  0.162  0.162
Fe  0.779  0.221  0.500
Fe  0.779  0.500  0.221
Fe  0.838  0.352  0.838
Fe  0.838  0.838  0.352
B  0.000  0.000  0.500
B  0.000  0.500  0.000
B  0.500  0.000  0.000

Computed properties:
Formation energy from the elements: -0.0561 eV per atom
Calculated volume: 277 Å³/cell
ρ: 7.683 g/cm³
VASP energy: -174.6 eV for the cell shown